i.
Here is a relaxed structure of Mg2Zn3Co from Alexandria. Energies are from PBE.

Geometry as POSCAR:
```
Mg2Zn3Co
1.0
4.5008 -0.1257 -2.3733
-2.8542 4.2085 -0.2193
-0.2129 0.1020 5.0596
Zn Mg Co
3 2 1
Cartesian
2.1440 -0.0118 1.3431
0.7169 2.0924 1.2335
-0.1064 0.0510 2.5298
-0.8149 2.7125 3.7541
2.2487 1.4724 -1.2872
0.0000 0.0000 0.0000
```

Output
As for the space group: C2/m. The value obtained for the total magnetization is 0.6 μB per formula unit. The density of states at the Fermi level comes out at 2.6 states/eV/cell. Its crystal system is monoclinic.

ii.
Here is a relaxed structure of Mg2Zn3Co from Alexandria. Energies are from PBE.

Geometry as POSCAR:
```
Mg2Zn3Co
1.0
4.3174 0.0000 0.0000
0.0000 4.8145 0.0000
-2.1587 -2.4072 5.3584
Mg Co Zn
2 1 3
Cartesian
0.0000 2.4072 2.7960
2.1587 0.0000 2.5624
0.0000 2.4072 0.0000
2.1587 2.4072 1.1922
0.0000 0.0000 0.0000
0.0000 0.0000 4.1662
```

Output
As for the space group: Immm. The value obtained for the total magnetization is 0.8 μB per formula unit. The density of states at the Fermi level comes out at 3.7 states/eV/cell. Its crystal system is orthorhombic.

The computed energies, referenced to the most stable structure and given in eV/atom, are i 0.000; ii 0.328.

i.
Here is a relaxed structure of Mg2ZrCo2 from Alexandria. Energies are from PBE.

Geometry as POSCAR:
```
Mg2ZrCo2
1.0
3.8032 0.0000 0.0000
0.0000 3.8032 0.0000
1.9016 1.9016 5.7525
Mg Co Zr
2 2 1
Cartesian
3.8032 1.9016 2.8762
1.9016 3.8032 2.8762
1.9016 1.9016 1.0762
3.8032 3.8032 4.6763
0.0000 0.0000 0.0000
```

Output
As for the space group: I4/mmm. The value obtained for the total magnetization is 0.0 μB per formula unit. The density of states at the Fermi level comes out at 5.1 states/eV/cell. Its crystal system is tetragonal.

ii.
Here is a relaxed structure of Mg2ZrCo2 from Alexandria. Energies are from PBE.

Geometry as POSCAR:
```
Mg2ZrCo2
1.0
7.1678 0.0000 0.0000
0.0000 7.1678 0.0000
0.0000 0.0000 3.0972
Mg Co Zr
4 4 2
Cartesian
1.0162 4.6001 1.5486
2.5677 1.0162 1.5486
6.1516 2.5677 1.5486
4.6001 6.1516 1.5486
2.4621 6.0460 0.0000
4.7058 1.1219 0.0000
6.0460 4.7058 0.0000
1.1219 2.4621 0.0000
0.0000 0.0000 0.0000
3.5839 3.5839 0.0000
```

Output
As for the space group: P4/mbm. The value obtained for the total magnetization is 0.0 μB per formula unit. The density of states at the Fermi level comes out at 5.3 states/eV/cell. Its crystal system is tetragonal.

iii.
Here is a relaxed structure of Mg2ZrCo2 from Alexandria. Energies are from PBE.

Geometry as POSCAR:
```
Mg2ZrCo2
1.0
7.5505 0.0000 0.0000
0.0000 7.5505 0.0000
0.0000 0.0000 2.7861
Mg Co Zr
4 4 2
Cartesian
6.6101 4.7157 0.0000
0.9404 2.8348 0.0000
4.7157 0.9404 0.0000
2.8348 6.6101 0.0000
5.1018 6.2240 1.3930
2.4487 1.3265 1.3930
1.3265 5.1018 1.3930
6.2240 2.4487 1.3930
3.7753 3.7753 0.0000
0.0000 0.0000 0.0000
```

Output
As for the space group: P4/mbm. The value obtained for the total magnetization is 1.3 μB per formula unit. The density of states at the Fermi level comes out at 13.9 states/eV/cell. Its crystal system is tetragonal.

The computed energies, referenced to the most stable structure and given in eV/atom, are i 0.068; ii 0.000; iii 0.104.

i.
Here is a relaxed structure of Mn5Co4 from Alexandria. Energies are from PBE.

Geometry as POSCAR:
```
Mn5Co4
1.0
6.8905 0.0000 0.0000
3.4452 5.9673 0.0000
0.0000 0.0000 4.9350
Co Mn
8 10
Cartesian
4.6063 3.9563 3.7012
2.3221 0.0000 1.2337
0.0000 0.0000 0.0000
5.7294 2.0110 1.2337
2.2842 3.9563 1.2337
0.0000 0.0000 2.4675
4.5684 0.0000 3.7012
1.1610 2.0110 3.7012
3.4452 1.9891 0.0000
5.7664 1.9469 3.7012
6.8905 3.9782 0.0000
2.3212 4.0205 3.7012
4.5692 4.0205 1.2337
6.8905 3.9782 2.4675
1.1240 1.9469 1.2337
2.2480 0.0000 3.7012
3.4452 1.9891 2.4675
4.6424 0.0000 1.2337
```

Output
As for the space group: P6_3/mcm. The value obtained for the total magnetization is 4.7 μB per formula unit. The density of states at the Fermi level comes out at 15.0 states/eV/cell. Its crystal system is hexagonal.

ii.
Here is a relaxed structure of Mn5Co4 from Alexandria. Energies are from PBE.

Geometry as POSCAR:
```
Mn5Co4
1.0
3.4168 0.0000 1.0771
1.7084 5.2999 0.5385
0.1149 0.0000 5.5933
Co Mn
4 5
Cartesian
1.7084 1.7519 0.5385
1.1817 0.0000 2.2094
3.4168 3.5480 1.0771
2.3500 0.0000 4.4610
2.9034 1.7074 2.7055
1.1950 3.5925 2.1670
0.6283 1.7074 3.9648
2.3367 3.5925 4.5034
0.0000 0.0000 0.0000
```

Output
As for the space group: I4/mmm. The value obtained for the total magnetization is 8.2 μB per formula unit. The density of states at the Fermi level comes out at 8.4 states/eV/cell. Its crystal system is tetragonal.

The computed energies, referenced to the most stable structure and given in eV/atom, are i 0.051; ii 0.000.

i.
Here is a relaxed structure of Mn2Co3 from Alexandria. Energies are from PBE.

Geometry as POSCAR:
```
Mn2Co3
1.0
0.0000 4.1529 5.9432
2.1953 0.0000 5.9432
2.1953 4.1529 0.0000
Co Mn
6 4
Cartesian
3.6822 5.8351 7.7404
1.4015 2.0764 2.9716
3.6822 6.6235 10.0893
0.3038 4.1529 5.9432
2.5846 3.7587 7.1177
2.5846 4.5471 4.7688
1.6541 2.3059 5.3554
2.7517 4.3823 9.5027
1.6541 5.9999 6.5311
2.7517 3.9235 2.3838
```

Output
As for the space group: Fdd2. The value obtained for the total magnetization is 4.8 μB per formula unit. The density of states at the Fermi level comes out at 15.5 states/eV/cell. Its crystal system is orthorhombic.

ii.
Here is a relaxed structure of Mn2Co3 from Alexandria. Energies are from PBE.

Geometry as POSCAR:
```
Mn2Co3
1.0
10.0907 -1.2335 -0.0027
10.0907 1.2335 -0.0027
9.9405 0.0000 2.1285
Co Mn
3 2
Cartesian
0.0000 0.0000 0.0000
6.0566 0.0000 0.4269
24.0653 0.0000 1.6962
12.0387 0.0000 0.8485
18.0832 0.0000 1.2745
```

Output
As for the space group: R-3m. The value obtained for the total magnetization is 2.3 μB per formula unit. The density of states at the Fermi level comes out at 7.1 states/eV/cell. Its crystal system is trigonal.

iii.
Here is a relaxed structure of Mn2Co3 from Alexandria. Energies are from PBE.

Geometry as POSCAR:
```
Mn2Co3
1.0
1.9196 -3.3249 0.0000
1.9196 3.3249 0.0000
0.0000 0.0000 4.7976
Co Mn
3 2
Cartesian
0.0000 0.0000 0.0000
1.9196 1.1083 1.6349
1.9196 -1.1083 3.1627
1.9196 -1.1083 0.8461
1.9196 1.1083 3.9514
```

Output
As for the space group: P-3m1. The value obtained for the total magnetization is 5.9 μB per formula unit. The density of states at the Fermi level comes out at 7.2 states/eV/cell. Its crystal system is trigonal.

The computed energies, referenced to the most stable structure and given in eV/atom, are i 0.065; ii 0.000; iii 0.333.

i.
Here is a relaxed structure of Mn3Co4 from Alexandria. Energies are from PBE.

Geometry as POSCAR:
```
Mn3Co4
1.0
2.2367 -3.8740 0.0000
2.2367 3.8740 0.0000
0.0000 0.0000 4.4259
Co Mn
4 3
Cartesian
2.2367 -1.2913 2.2130
0.0000 0.0000 3.2903
2.2367 1.2913 2.2130
0.0000 0.0000 1.1356
1.1183 -1.9370 0.0000
1.1183 1.9370 0.0000
2.2367 0.0000 0.0000
```

Output
As for the space group: P6/mmm. The value obtained for the total magnetization is 3.4 μB per formula unit. The density of states at the Fermi level comes out at 8.5 states/eV/cell. Its crystal system is hexagonal.

ii.
Here is a relaxed structure of Mn3Co4 from Alexandria. Energies are from PBE.

Geometry as POSCAR:
```
Mn3Co4
1.0
-5.5093 7.2741 4.9304
-8.3416 5.5010 2.7802
6.5866 -7.6553 -2.3635
Mn Co
3 4
Cartesian
-3.9444 3.6380 2.1958
0.0000 0.0000 0.0000
-9.9065 9.1371 5.5148
-11.8642 10.9427 6.6047
-5.9045 5.4459 3.2870
-1.9867 1.8324 1.1060
-7.9464 7.3292 4.4236
```

Output
As for the space group: I4/mmm. The value obtained for the total magnetization is 13.6 μB per formula unit. The density of states at the Fermi level comes out at 7.8 states/eV/cell. Its crystal system is tetragonal.

The computed energies, referenced to the most stable structure and given in eV/atom, are i 0.083; ii 0.000.

i.
Here is a relaxed structure of MnCoMo2 from Alexandria. Energies are from PBE.

Geometry as POSCAR:
```
MnCoMo2
1.0
3.7451 0.0000 0.0000
0.0000 3.7804 0.0000
0.0000 0.0000 3.7804
Mo Co Mn
2 1 1
Cartesian
0.0000 1.8902 1.8902
0.0000 0.0000 0.0000
1.8725 1.8902 0.0000
1.8725 0.0000 1.8902
```

Output
As for the space group: P4/mmm. The value obtained for the total magnetization is 1.5 μB per formula unit. The density of states at the Fermi level comes out at 4.2 states/eV/cell. Its crystal system is tetragonal.

ii.
Here is a relaxed structure of MnCoMo2 from Alexandria. Energies are from PBE.

Geometry as POSCAR:
```
MnCoMo2
1.0
5.1851 0.0038 0.0123
-2.2808 4.3229 -0.0047
0.6236 0.7604 2.4508
Mo Co Mn
2 1 1
Cartesian
2.9043 0.3821 1.2315
0.0000 0.0000 0.0000
-0.8286 2.5416 1.2231
1.4522 2.1633 0.0038
```

Output
As for the space group: C2/m. The value obtained for the total magnetization is 3.3 μB per formula unit. The density of states at the Fermi level comes out at 4.4 states/eV/cell. Its crystal system is monoclinic.

iii.
Here is a relaxed structure of MnCoMo2 from Alexandria. Energies are from PBE.

Geometry as POSCAR:
```
MnCoMo2
1.0
4.5693 -0.0196 0.0000
-1.3754 4.3575 0.0000
0.0000 0.0000 2.6907
Mo Co Mn
2 1 1
Cartesian
1.5970 2.1690 0.0000
0.0000 0.0000 0.0000
2.2847 -0.0098 1.3454
-0.6877 2.1787 1.3454
```

Output
As for the space group: Cmmm. The value obtained for the total magnetization is 1.1 μB per formula unit. The density of states at the Fermi level comes out at 4.0 states/eV/cell. Its crystal system is orthorhombic.

iv.
Here is a relaxed structure of MnCoMo2 from Alexandria. Energies are from PBE.

Geometry as POSCAR:
```
MnCoMo2
1.0
2.6559 -0.0217 0.0000
-0.5647 2.5952 0.0000
0.0000 0.0000 7.9830
Mo Co Mn
2 1 1
Cartesian
1.0456 1.2867 2.1815
0.0000 0.0000 7.8734
0.0000 0.0000 4.1001
1.0456 1.2867 5.8026
```

Output
As for the space group: Cmm2. The value obtained for the total magnetization is 3.2 μB per formula unit. The density of states at the Fermi level comes out at 4.6 states/eV/cell. Its crystal system is orthorhombic.

The computed energies, referenced to the most stable structure and given in eV/atom, are i 0.000; ii 0.026; iii 0.009; iv 0.014.

i.
Here is a relaxed structure of MnCoMo2 from Alexandria. Energies are from PBE.

Geometry as POSCAR:
```
MnCoMo2
1.0
-2.2744 1.2140 3.4494
-2.2250 -0.8702 -1.1608
0.2792 -4.3607 1.7188
Co Mo Mn
1 2 1
Cartesian
-1.2396 -2.5836 0.0920
-1.5681 -0.8524 1.9542
0.2566 -4.1922 1.6446
-2.3627 -3.3649 2.3146
```

Output
As for the space group: Pm. The value obtained for the total magnetization is 1.1 μB per formula unit. The density of states at the Fermi level comes out at 4.6 states/eV/cell. Its crystal system is monoclinic.

ii.
Here is a relaxed structure of MnCoMo2 from Alexandria. Energies are from PBE.

Geometry as POSCAR:
```
MnCoMo2
1.0
2.6446 0.0000 0.0000
0.0000 2.6446 0.0000
0.0000 0.0000 7.7567
Mo Mn Co
2 1 1
Cartesian
0.0000 0.0000 3.7875
0.0000 0.0000 0.0908
1.3223 1.3223 5.8175
1.3223 1.3223 1.9392
```

Output
As for the space group: P4/mmm. The value obtained for the total magnetization is 1.4 μB per formula unit. The density of states at the Fermi level comes out at 3.5 states/eV/cell. Its crystal system is tetragonal.

iii.
Here is a relaxed structure of MnCoMo2 from Alexandria. Energies are from PBE.

Geometry as POSCAR:
```
MnCoMo2
1.0
-2.3676 -2.6095 -2.1388
0.8850 -2.0085 1.4709
-3.3433 -0.2105 3.9578
Co Mo Mn
1 2 1
Cartesian
-1.7984 -1.8595 0.2878
-1.2287 -1.1183 2.7245
-2.4588 -2.2103 5.4186
-3.0275 -2.9691 3.0021
```

Output
As for the space group: P2/m. The value obtained for the total magnetization is 3.2 μB per formula unit. The density of states at the Fermi level comes out at 4.9 states/eV/cell. Its crystal system is monoclinic.

The computed energies, referenced to the most stable structure and given in eV/atom, are i 0.010; ii 0.000; iii 0.034.

i.
Here is a relaxed structure of MnCoMo2 from Alexandria. Energies are from PBE.

Geometry as POSCAR:
```
MnCoMo2
1.0
4.6226 0.0003 0.0000
1.5364 4.3599 0.0000
-3.0795 -2.1801 2.6707
Mn Co Mo
1 1 2
Cartesian
2.3113 0.0002 1.3353
0.7682 2.1799 1.3353
3.0795 2.1801 0.0000
0.0000 0.0000 0.0000
```

Output
As for the space group: I4/mmm. The value obtained for the total magnetization is 1.5 μB per formula unit. The density of states at the Fermi level comes out at 3.2 states/eV/cell. Its crystal system is tetragonal.

ii.
Here is a relaxed structure of MnCoMo2 from Alexandria. Energies are from PBE.

Geometry as POSCAR:
```
MnCoMo2
1.0
4.2794 0.0000 0.0000
2.1397 3.7060 0.0000
2.1397 1.2353 3.4941
Mn Co Mo
1 1 2
Cartesian
2.1397 1.2353 0.8735
4.2794 2.4707 1.7470
6.4191 3.7060 2.6206
0.0000 0.0000 0.0000
```

Output
As for the space group: F-43m. The value obtained for the total magnetization is 3.9 μB per formula unit. The density of states at the Fermi level comes out at 3.2 states/eV/cell. Its crystal system is cubic.

The computed energies, referenced to the most stable structure and given in eV/atom, are i 0.000; ii 0.029.